The following is a DFT calculation (GGA-PBE) of a geometry-optimized BiS2I structure.

a b c (Å): 8.4845 8.4845 8.4845
angles (deg): 29.41 29.41 29.41
Fractional coordinates of all 4 atoms:
I (0.0000, 0.0000, 0.0000)
S (0.8920, 0.8920, 0.8920)
S (0.1080, 0.1080, 0.1080)
Bi (0.5000, 0.5000, 0.5000)

Calculated values
Polymorph energy (0 for the lowest one) (kJ per mole of atoms): 0.0
SG: R-3m (166)
E_form (uncorrected) (meV per atom): -133

***

The following is a DFT calculation (GGA-PBE) of a geometry-optimized BiS4I structure.

a b c (Å): 7.6865 10.4205 7.0666
angles (deg): 56.97 81.29 63.52
Fractional coordinates of all 12 atoms:
Bi (0.7321, 0.7404, 0.3119)
Bi (0.2679, 0.2596, 0.6881)
S (0.2719, 0.5598, 0.4191)
S (0.0742, 0.6344, 0.1699)
S (0.7645, 0.8608, 0.7101)
S (0.5604, 0.8347, 0.9275)
S (0.7281, 0.4402, 0.5809)
S (0.2355, 0.1392, 0.2899)
S (0.9258, 0.3656, 0.8301)
S (0.4396, 0.1653, 0.0725)
I (0.7688, 0.1371, 0.5997)
I (0.2312, 0.8629, 0.4003)

Calculated values
SG: P-1 (2)
E_form (uncorrected) (meV per atom): -5

***

The following is a DFT calculation (GGA-PBE) of a geometry-optimized Bi6S8I structure.

a b c (Å): 8.1730 8.1730 8.6997
angles (deg): 61.98 61.98 60.00
Fractional coordinates of all 15 atoms:
Bi (0.4283, 0.1137, 0.7472)
Bi (0.8863, 0.2892, 0.2528)
Bi (0.2892, 0.5717, 0.2528)
Bi (0.7108, 0.4283, 0.7472)
Bi (0.1137, 0.7108, 0.7472)
Bi (0.5717, 0.8863, 0.2528)
S (0.5544, 0.2076, 0.3591)
S (0.7924, 0.1211, 0.6409)
S (0.1211, 0.4456, 0.6409)
S (0.6536, 0.6536, 0.0393)
S (0.3464, 0.3464, 0.9607)
S (0.8789, 0.5544, 0.3591)
S (0.2076, 0.8789, 0.3591)
S (0.4456, 0.7924, 0.6409)
I (0.0000, 0.0000, 0.0000)

Calculated values
SG: R-3 (148)
E_form (uncorrected) (meV per atom): -229